# SrWO4 (PBE+U, relaxed)
# E (eV per atom): -7.195
data_SrWO4
_chemical_formula_sum 'Sr2 W2 O8'
_space_group_name_H-M_alt 'P 1 21/c 1'
_space_group_IT_number 14
_space_group_name_Hall '-P 2ybc'
_cell_length_a 6.094
_cell_length_b 5.222
_cell_length_c 5.661
_cell_angle_alpha 90.00
_cell_angle_beta 104.62
_cell_angle_gamma 90.00
loop_
_atom_site_label
_atom_site_type_symbol
_atom_site_fract_x
_atom_site_fract_y
_atom_site_fract_z
Sr1 Sr 0.000 0.000 0.000
W1 W 0.500 0.000 0.500
O1 O 0.200 0.121 0.419
O2 O 0.409 0.729 0.709

---

# Sr2WO6 (PBE+U, relaxed)
# E (eV per atom): -6.585
data_Sr2WO6
_chemical_formula_sum 'Sr4 W2 O12'
_space_group_name_H-M_alt 'P 42/m n m'
_space_group_IT_number 136
_space_group_name_Hall '-P 4n 2n'
_cell_length_a 5.359
_cell_length_b 5.359
_cell_length_c 10.695
_cell_angle_alpha 90.00
_cell_angle_beta 90.00
_cell_angle_gamma 90.00
loop_
_atom_site_label
_atom_site_type_symbol
_atom_site_fract_x
_atom_site_fract_y
_atom_site_fract_z
Sr1 Sr 0.000 0.000 0.168
W1 W 0.000 0.000 0.500
O1 O 0.177 0.177 0.368
O2 O 0.244 0.244 0.000

---

# SrWO4 (PBE+U, relaxed)
# E (eV per atom): -7.288
data_SrWO4
_chemical_formula_sum 'Sr4 W4 O16'
_space_group_name_H-M_alt 'I 41/a'
_space_group_IT_number 88
_cell_length_a 5.518
_cell_length_b 5.518
_cell_length_c 12.094
_cell_angle_alpha 90.00
_cell_angle_beta 90.00
_cell_angle_gamma 90.00
loop_
_space_group_symop_operation_xyz
'x,y,z'
'-x,-y,-z'
'-y+3/4,x+1/4,z+1/4'
'y+3/4,-x+1/4,-z+1/4'
'-x+1/2,-y,z+1/2'
'x+1/2,y,-z+1/2'
'y+3/4,-x+3/4,z+3/4'
'-y+3/4,x+3/4,-z+3/4'
'x+1/2,y+1/2,z+1/2'
'-x+1/2,-y+1/2,-z+1/2'
'-y+1/4,x+3/4,z+3/4'
'y+1/4,-x+3/4,-z+3/4'
'-x,-y+1/2,z'
'x,y+1/2,-z'
'y+1/4,-x+1/4,z+1/4'
'-y+1/4,x+1/4,-z+1/4'
loop_
_atom_site_label
_atom_site_type_symbol
_atom_site_fract_x
_atom_site_fract_y
_atom_site_fract_z
Sr1 Sr 0.000 0.250 0.125
W1 W 0.000 0.250 0.625
O1 O 0.143 0.486 0.708

---

Q: Which of these has the highest E?
A: Sr2WO6